Entry 1:
{
  "formula": "Hg2SbP",
  "functional": "PBE",
  "state": "relaxed",
  "e_form_raw_kj_per_mol_fu": 102,
  "rho_g_cm3": 9.54,
  "cell": [[3.115, 0.000, 0.000], [0.000, 5.456, 0.000], [0.000, 0.000, 5.671]],
  "species": ["Hg", "Hg", "Sb", "P"],
  "frac_coords": [[0.000, 0.000, 0.000], [0.500, 0.000, 0.500], [0.000, 0.500, 0.500], [0.000, 0.500, 0.000]]
}

***

Entry 2:
{
  "formula": "PuTe3Au",
  "functional": "PBE",
  "state": "relaxed",
  "e_form_raw_kj_per_mol_fu": -224,
  "rho_g_cm3": 8.84,
  "cell": [[8.465, -2.159, 0.000], [8.465, 2.159, 0.000], [-0.688, 0.000, 8.470]],
  "species": ["Pu", "Pu", "Te", "Te", "Te", "Te", "Te", "Te", "Au", "Au"],
  "frac_coords": [[0.212, 0.212, 0.281], [0.788, 0.788, 0.719], [0.018, 0.018, 0.169], [0.191, 0.191, 0.902], [0.362, 0.362, 0.524], [0.638, 0.638, 0.476], [0.809, 0.809, 0.098], [0.982, 0.982, 0.831], [0.415, 0.415, 0.201], [0.585, 0.585, 0.799]]
}

***

Entry 3:
{
  "formula": "SrEuAgSb",
  "functional": "PBE",
  "state": "relaxed",
  "e_form_raw_kj_per_mol_fu": -273,
  "rho_g_cm3": 6.41,
  "cell": [[0.000, 3.932, 3.932], [3.932, 0.000, 3.932], [3.932, 3.932, 0.000]],
  "species": ["Sr", "Eu", "Ag", "Sb"],
  "frac_coords": [[0.000, 0.000, 0.000], [0.500, 0.500, 0.500], [0.250, 0.250, 0.250], [0.750, 0.750, 0.750]]
}

***

Entry 4:
{
  "formula": "Dy2ScRh",
  "functional": "PBE",
  "state": "relaxed",
  "formation_energy_ev_per_atom": -0.3754,
  "rho_g_cm3": 7.98,
  "cell": [[3.495, 0.000, 0.000], [0.000, 3.495, 0.000], [0.000, 0.000, 8.058]],
  "species": ["Dy", "Dy", "Sc", "Rh"],
  "frac_coords": [[0.000, 0.000, 0.202], [0.000, 0.000, 0.798], [0.500, 0.500, 0.500], [0.500, 0.500, 0.000]]
}

***

Entry 5:
{
  "formula": "TlHgRh2",
  "functional": "PBE",
  "state": "relaxed",
  "formation_energy_ev_per_atom": 0.2942,
  "rho_g_cm3": 14.15,
  "cell": [[-2.032, 2.032, 4.341], [2.032, -2.032, 4.341], [2.032, 2.032, -4.341]],
  "species": ["Tl", "Hg", "Rh", "Rh"],
  "frac_coords": [[0.000, 0.000, 0.000], [0.250, 0.750, 0.500], [0.500, 0.500, 0.000], [0.750, 0.250, 0.500]]
}

***

Entry 6:
{
  "formula": "Sr2Tl5In",
  "functional": "PBE",
  "state": "relaxed",
  "formation_energy_ev_per_atom": -0.2564,
  "rho_g_cm3": 8.89,
  "cell": [[6.958, 0.000, 0.000], [0.000, 13.917, 0.000], [0.000, 0.000, 5.064]],
  "species": ["Sr", "Sr", "Sr", "Sr", "Tl", "Tl", "Tl", "Tl", "Tl", "Tl", "Tl", "Tl", "Tl", "Tl", "In", "In"],
  "frac_coords": [[0.241, 0.126, 0.000], [0.259, 0.626, 0.000], [0.741, 0.374, 0.000], [0.759, 0.874, 0.000], [0.000, 0.000, 0.500], [0.001, 0.746, 0.500], [0.238, 0.378, 0.000], [0.262, 0.878, 0.000], [0.499, 0.246, 0.500], [0.500, 0.500, 0.500], [0.501, 0.754, 0.500], [0.738, 0.122, 0.000], [0.762, 0.622, 0.000], [0.999, 0.254, 0.500], [0.000, 0.500, 0.500], [0.500, 0.000, 0.500]]
}

***

Entry 7:
{
  "formula": "Zr2Sc3Tl3",
  "functional": "PBE",
  "state": "relaxed",
  "formation_energy_ev_per_atom": -0.1802,
  "rho_g_cm3": 8.27,
  "cell": [[-1.794, 2.482, 10.487], [1.794, -2.482, 10.487], [1.794, 2.482, -10.487]],
  "species": ["Zr", "Zr", "Sc", "Sc", "Sc", "Tl", "Tl", "Tl"],
  "frac_coords": [[0.250, 0.250, 0.000], [0.750, 0.750, 0.000], [0.000, 0.000, 0.000], [0.375, 0.875, 0.500], [0.625, 0.125, 0.500], [0.130, 0.630, 0.500], [0.500, 0.500, 0.000], [0.870, 0.370, 0.500]]
}

***

Entry 8:
{
  "formula": "LiYBeSb2",
  "functional": "PBE",
  "state": "relaxed",
  "e_form_raw_kj_per_mol_fu": 49,
  "rho_g_cm3": 5.25,
  "cell": [[5.045, 0.000, 0.000], [0.000, 5.045, 0.000], [0.000, 0.000, 4.327]],
  "species": ["Li", "Y", "Be", "Sb", "Sb"],
  "frac_coords": [[0.000, 0.000, 0.000], [0.500, 0.500, 0.500], [0.000, 0.000, 0.500], [0.000, 0.500, 0.000], [0.500, 0.000, 0.000]]
}

***

Entry 9:
{
  "formula": "CrCoH4",
  "functional": "PBE",
  "state": "relaxed",
  "total_energy_ev_per_atom": -4.96,
  "rho_g_cm3": 5.45,
  "cell": [[0.000, 2.904, 4.161], [2.900, 0.000, 4.161], [2.900, 2.904, 0.000]],
  "species": ["Cr", "Cr", "Co", "Co", "H", "H", "H", "H", "H", "H", "H", "H"],
  "frac_coords": [[0.125, 0.125, 0.125], [0.875, 0.875, 0.875], [0.375, 0.375, 0.375], [0.625, 0.625, 0.625], [0.000, 0.500, 0.260], [0.000, 0.500, 0.740], [0.260, 0.740, 0.000], [0.260, 0.740, 0.500], [0.500, 0.000, 0.260], [0.500, 0.000, 0.740], [0.740, 0.260, 0.000], [0.740, 0.260, 0.500]]
}

***

Entry 10:
{
  "formula": "NbHgTe2",
  "functional": "PBE",
  "state": "relaxed",
  "e_form_raw_kj_per_mol_fu": -124,
  "rho_g_cm3": 7.75,
  "cell": [[3.658, 0.000, 0.000], [1.829, 3.168, 0.000], [1.820, -1.002, 10.150]],
  "species": ["Nb", "Hg", "Te", "Te"],
  "frac_coords": [[0.000, 0.000, 0.000], [0.003, 0.497, 0.500], [0.454, 0.275, 0.817], [0.546, 0.725, 0.183]]
}

***

Entry 11:
{
  "formula": "LiPm2Ge2",
  "functional": "PBE",
  "state": "relaxed",
  "formation_energy_ev_per_atom": -0.7156,
  "rho_g_cm3": 6.43,
  "cell": [[5.560, -2.194, 0.000], [5.560, 2.194, 0.000], [-5.065, 0.000, 9.363]],
  "species": ["Li", "Li", "Pm", "Pm", "Pm", "Pm", "Ge", "Ge", "Ge", "Ge"],
  "frac_coords": [[0.226, 0.226, 0.368], [0.774, 0.774, 0.632], [0.311, 0.311, 0.900], [0.492, 0.492, 0.672], [0.508, 0.508, 0.328], [0.689, 0.689, 0.100], [0.014, 0.014, 0.884], [0.134, 0.134, 0.574], [0.866, 0.866, 0.426], [0.986, 0.986, 0.116]]
}

***

Entry 12:
{
  "formula": "Sm5Cu4Ag",
  "functional": "PBE",
  "state": "relaxed",
  "formation_energy_ev_per_atom": -0.1986,
  "rho_g_cm3": 8.05,
  "cell": [[3.561, 0.000, 0.000], [0.000, 3.561, 0.000], [0.000, 0.000, 18.130]],
  "species": ["Sm", "Sm", "Sm", "Sm", "Sm", "Cu", "Cu", "Cu", "Cu", "Ag"],
  "frac_coords": [[0.000, 0.000, 0.000], [0.000, 0.000, 0.196], [0.000, 0.000, 0.391], [0.000, 0.000, 0.609], [0.000, 0.000, 0.804], [0.500, 0.500, 0.098], [0.500, 0.500, 0.294], [0.500, 0.500, 0.706], [0.500, 0.500, 0.902], [0.500, 0.500, 0.500]]
}

***

Q: Which formula does entry 12 have?
A: Sm5Cu4Ag